Entry from the Alexandria database: a geometry-optimized Y2NbCoP structure (GGA-PBE).

The value obtained for the formation energy is 103 meV per atom.

The space group is P4/mmm (No. 123) and the conventional cell measures 5.1656, 5.1656 and 4.4466 Å, with angles of 90.00, 90.00 and 90.00 degrees. The inequivalent atoms are Y at (0.0000, 0.5000, 0.0000), Nb at (0.0000, 0.0000, 0.5000), Co at (0.0000, 0.0000, 0.0000) and P at (0.5000, 0.5000, 0.5000).